[1]
VASP calculation (PBE) on an optimized crystal structure of TmBeGa2Pt4.

E_tot, eV per atom: -5.65

Lattice parameters (Å, degrees): 4.2943 4.2943 24.2061 90.00 90.00 120.00
Space group R-3m (No. 166, hexagonal axes)
Symmetry-distinct sites (fractional):
Tm: 0.0000 0.0000 0.0000 x3
Be: 0.0000 0.0000 0.5000 x3
Ga: 0.0000 0.0000 0.2472 x6
Pt: 0.0000 0.0000 0.1361 x6
Pt: 0.0000 0.0000 0.4046 x6



[2]
VASP calculation (PBE) on an optimized crystal structure of Tm2Be3GaPt4.

E_tot, eV per atom: -5.67

Lattice parameters (Å, degrees): 4.0181 4.0181 9.8539 90.00 90.00 90.00
Space group P-4m2 (No. 115)
Symmetry-distinct sites (fractional):
Tm: 0.0000 0.5000 0.2403 x2
Be: 0.0000 0.5000 0.8807 x2
Be: 0.5000 0.5000 0.5000 x1
Ga: 0.0000 0.0000 0.5000 x1
Pt: 0.0000 0.0000 0.0000 x1
Pt: 0.0000 0.5000 0.6490 x2
Pt: 0.5000 0.5000 0.0000 x1



[3]
VASP calculation (PBE) on an optimized crystal structure of Y2BeGa4Pt3.

E_tot, eV per atom: -5.50

Lattice parameters (Å, degrees): 4.0861 4.0861 10.9189 90.00 90.00 90.00
Space group P-4m2 (No. 115)
Symmetry-distinct sites (fractional):
Y: 0.0000 0.5000 0.2422 x2
Be: 0.5000 0.5000 0.0000 x1
Ga: 0.0000 0.0000 0.5000 x1
Ga: 0.0000 0.5000 0.8716 x2
Ga: 0.5000 0.5000 0.5000 x1
Pt: 0.0000 0.0000 0.0000 x1
Pt: 0.0000 0.5000 0.6427 x2



We obtain E_form values of -844; -937; -811 meV per atom for the records listed above, in that order.